[1]
The following is a PBE calculation of an optimized crystal structure of TbSmTmTh2, from the Alexandria database.

E_form in meV/atom: 410
Volume in Å³/cell: 691.9
Total energy in eV per atom: -5.322
M_tot in μB per formula unit: 0.00

a b c (Å): 6.659 15.596 6.662
angles (deg): 90.00 90.00 90.00
Space group Cmcm (No. 63)
One atom of each set of equivalent atoms:
Tb 0.000 0.247 0.250 x4
Sm 0.000 0.347 0.750 x4
Tm 0.000 0.151 0.750 x4
Th 0.248 0.000 0.000 x8

=====

[2]
The following is a PBE calculation of an optimized crystal structure of TbSm2Tm5Th, from the Alexandria database.

E_form in meV/atom: 298
Volume in Å³/cell: 1136.9
Total energy in eV per atom: -4.574
M_tot in μB per formula unit: 0.00

a b c (Å): 8.674 8.674 15.112
angles (deg): 90.00 90.00 90.00
Space group I4/mcm (No. 140)
One atom of each set of equivalent atoms:
Tb 0.000 0.500 0.250 x4
Sm 0.115 0.385 0.000 x8
Tm 0.000 0.000 0.000 x4
Tm 0.212 0.288 0.362 x16
Th 0.000 0.000 0.250 x4

=====

[3]
The following is a PBE calculation of an optimized crystal structure of Tb3Sm6Tm2Th, from the Alexandria database.

E_form in meV/atom: 29
Volume in Å³/cell: 782.2
Total energy in eV per atom: -4.852
M_tot in μB per formula unit: 0.00

a b c (Å): 6.210 10.744 11.905
angles (deg): 90.00 100.03 90.00
Space group C2/m (No. 12)
One atom of each set of equivalent atoms:
Tb 0.000 0.000 0.000 x2
Tb 0.000 0.333 0.000 x4
Sm 0.247 0.500 0.252 x4
Sm 0.248 0.335 0.748 x8
Tm 0.000 0.167 0.500 x4
Th 0.000 0.500 0.500 x2